1.
Computed, not measured: a geometry-optimized ZnReNi2 structure at the PBE-GGA level of DFT.

* formation enthalpy at 0 K: 0.058 eV per atom
* final energy: -6.2631 eV/atom
* total magnetization: 0.082 μB/atom
* theoretical density: 12.048 g cm⁻³

a b c (Å): 4.4110 4.4110 2.6140
angles (deg): 90.00 90.00 90.00
Last column: nearest neighbours and their distance in Å.
Space group P4/mmm (No. 123)
Inequivalent atoms, fractional coordinates:
Zn (0.0000, 0.0000, 0.0000) (multiplicity 1)  8 Ni 2.56, 2 Zn 2.61
Re (0.5000, 0.5000, 0.0000) (multiplicity 1)  8 Ni 2.56, 2 Re 2.61
Ni (0.0000, 0.5000, 0.5000) (multiplicity 2)  4 Re 2.56, 4 Zn 2.56, 2 Ni 2.61

***

2.
Computed, not measured: a geometry-optimized ZnReNi2 structure at the PBE-GGA level of DFT.

* formation enthalpy at 0 K: 0.227 eV per atom
* final energy: -6.0945 eV/atom
* total magnetization: 0.566 μB/atom
* theoretical density: 12.023 g cm⁻³

a b c (Å): 3.7859 3.7859 3.5559
angles (deg): 90.00 90.00 90.00
Last column: nearest neighbours and their distance in Å.
Space group P4/mmm (No. 123)
Inequivalent atoms, fractional coordinates:
Zn (0.0000, 0.0000, 0.0000) (multiplicity 1)  8 Ni 2.60, 4 Re 2.68
Re (0.5000, 0.5000, 0.0000) (multiplicity 1)  8 Ni 2.60, 4 Zn 2.68
Ni (0.0000, 0.5000, 0.5000) (multiplicity 2)  4 Re 2.60, 4 Zn 2.60, 4 Ni 2.68

***

3.
Computed, not measured: a geometry-optimized ZnReNi2 structure at the PBE-GGA level of DFT.

* formation enthalpy at 0 K: 0.557 eV per atom
* final energy: -5.7641 eV/atom
* total magnetization: 0.000 μB/atom
* theoretical density: 11.199 g cm⁻³

a b c (Å): 3.6149 3.6149 16.7483
angles (deg): 90.00 90.00 90.00
Last column: nearest neighbours and their distance in Å.
Space group I-42d (No. 122)
Inequivalent atoms, fractional coordinates:
Zn (0.0000, 0.0000, 0.0000) (multiplicity 4)  4 Ni 2.45, 4 Re 2.56
Re (0.0000, 0.0000, 0.5000) (multiplicity 4)  4 Ni 2.45, 4 Zn 2.56
Ni (0.2489, 0.2500, 0.1250) (multiplicity 8)  2 Zn 2.45, 2 Re 2.45, 4 Ni 2.55-2.56

***

4.
Computed, not measured: a geometry-optimized ZnRe3Ni structure at the PBE-GGA level of DFT.

* formation enthalpy at 0 K: 1.808 eV per atom
* final energy: -7.0715 eV/atom
* total magnetization: 0.000 μB/atom
* theoretical density: 13.058 g cm⁻³

a b c (Å): 4.4279 4.4279 4.4279
angles (deg): 90.00 90.00 90.00
Last column: nearest neighbours and their distance in Å.
Space group Pm-3m (No. 221)
Inequivalent atoms, fractional coordinates:
Zn (0.0000, 0.0000, 0.0000) (multiplicity 1)  12 Re 3.13
Re (0.0000, 0.5000, 0.5000) (multiplicity 3)  2 Ni 2.21
Ni (0.5000, 0.5000, 0.5000) (multiplicity 1)  6 Re 2.21

***

5.
Computed, not measured: a geometry-optimized ZnReNi4 structure at the PBE-GGA level of DFT.

* formation enthalpy at 0 K: 0.154 eV per atom
* final energy: -5.9869 eV/atom
* total magnetization: 0.394 μB/atom
* theoretical density: 11.141 g cm⁻³

a b c (Å): 6.6190 6.6190 6.6190
angles (deg): 90.00 90.00 90.00
Last column: nearest neighbours and their distance in Å.
Space group F-43m (No. 216)
Inequivalent atoms, fractional coordinates:
Zn (0.0000, 0.0000, 0.0000) (multiplicity 4)  12 Ni 2.74, 4 Re 2.87
Re (0.2500, 0.2500, 0.2500) (multiplicity 4)  12 Ni 2.74, 4 Zn 2.87
Ni (0.1248, 0.1248, 0.6248) (multiplicity 16)  6 Ni 2.34

***

6.
Computed, not measured: a geometry-optimized Zn2ReNi structure at the PBE-GGA level of DFT.

* formation enthalpy at 0 K: 0.300 eV per atom
* final energy: -4.8940 eV/atom
* total magnetization: 0.535 μB/atom
* theoretical density: 11.475 g cm⁻³

a b c (Å): 6.0137 6.0137 6.0137
angles (deg): 90.00 90.00 90.00
Last column: nearest neighbours and their distance in Å.
Space group F-43m (No. 216)
Inequivalent atoms, fractional coordinates:
Zn (0.0000, 0.0000, 0.0000) (multiplicity 4)  4 Re 2.60, 4 Zn 2.60
Zn (0.2500, 0.2500, 0.2500) (multiplicity 4)  4 Ni 2.60, 4 Zn 2.60
Re (0.2500, 0.2500, 0.7500) (multiplicity 4)  4 Ni 2.60, 4 Zn 2.60
Ni (0.0000, 0.0000, 0.5000) (multiplicity 4)  4 Re 2.60, 4 Zn 2.60

***

7.
Computed, not measured: a geometry-optimized ZnReNi2 structure at the PBE-GGA level of DFT.

* formation enthalpy at 0 K: -0.122 eV per atom
* final energy: -6.4436 eV/atom
* total magnetization: 0.000 μB/atom
* theoretical density: 12.248 g cm⁻³

a b c (Å): 2.6414 2.6414 7.1704
angles (deg): 90.00 90.00 90.00
Last column: nearest neighbours and their distance in Å.
Space group P4/mmm (No. 123)
Inequivalent atoms, fractional coordinates:
Zn (0.0000, 0.0000, 0.0000) (multiplicity 1)  8 Ni 2.57, 4 Zn 2.64
Re (0.0000, 0.0000, 0.5000) (multiplicity 1)  8 Ni 2.61, 4 Re 2.64
Ni (0.5000, 0.5000, 0.2462) (multiplicity 2)  4 Zn 2.57, 4 Re 2.61, 4 Ni 2.64

***

8.
Computed, not measured: a geometry-optimized Zn2ReNi structure at the PBE-GGA level of DFT.

* formation enthalpy at 0 K: 0.125 eV per atom
* final energy: -5.0695 eV/atom
* total magnetization: 0.000 μB/atom
* theoretical density: 11.572 g cm⁻³

a b c (Å): 2.6642 3.7273 5.4292
angles (deg): 90.00 90.00 90.00
Last column: nearest neighbours and their distance in Å.
Space group Pmm2 (No. 25)
Inequivalent atoms, fractional coordinates:
Zn (0.0000, 0.0000, 0.0000) (multiplicity 1)  6 Zn 2.66, 2 Ni 2.68-2.74, 4 Re 2.72
Zn (0.5000, 0.5000, 0.2478) (multiplicity 1)  2 Re 2.62-2.80, 6 Zn 2.66, 4 Ni 2.68
Re (0.5000, 0.5000, 0.7312) (multiplicity 1)  4 Ni 2.60, 6 Zn 2.62-2.80, 2 Re 2.66
Ni (0.0000, 0.0000, 0.5055) (multiplicity 1)  4 Re 2.60, 2 Ni 2.66, 6 Zn 2.68-2.74

***

9.
Computed, not measured: a geometry-optimized ZnReNi2 structure at the PBE-GGA level of DFT.

* formation enthalpy at 0 K: 0.148 eV per atom
* final energy: -6.1736 eV/atom
* total magnetization: 0.225 μB/atom
* theoretical density: 12.186 g cm⁻³

a b c (Å): 3.7815 3.7815 7.0325
angles (deg): 90.00 90.00 90.00
Last column: nearest neighbours and their distance in Å.
Space group I4/mmm (No. 139)
Inequivalent atoms, fractional coordinates:
Zn (0.0000, 0.0000, 0.0000) (multiplicity 2)  8 Ni 2.58, 4 Re 2.67
Re (0.0000, 0.0000, 0.5000) (multiplicity 2)  8 Ni 2.58, 4 Zn 2.67
Ni (0.0000, 0.5000, 0.2500) (multiplicity 4)  4 Re 2.58, 4 Zn 2.58, 4 Ni 2.67

***

10.
Computed, not measured: a geometry-optimized Zn2ReNi structure at the PBE-GGA level of DFT.

* formation enthalpy at 0 K: 0.178 eV per atom
* final energy: -5.0160 eV/atom
* total magnetization: 0.001 μB/atom
* theoretical density: 11.696 g cm⁻³

a b c (Å): 3.7481 3.7481 3.7970
angles (deg): 90.00 90.00 90.00
Last column: nearest neighbours and their distance in Å.
Space group P4/mmm (No. 123)
Inequivalent atoms, fractional coordinates:
Zn (0.0000, 0.5000, 0.0000) (multiplicity 2)  4 Zn 2.65, 4 Ni 2.67, 4 Re 2.67
Re (0.0000, 0.0000, 0.5000) (multiplicity 1)  4 Ni 2.65, 8 Zn 2.67
Ni (0.5000, 0.5000, 0.5000) (multiplicity 1)  4 Re 2.65, 8 Zn 2.67

***

11.
Computed, not measured: a geometry-optimized Zn2ReNi structure at the PBE-GGA level of DFT.

* formation enthalpy at 0 K: 0.264 eV per atom
* final energy: -4.9307 eV/atom
* total magnetization: 0.000 μB/atom
* theoretical density: 11.623 g cm⁻³

a b c (Å): 3.7716 3.7716 7.5470
angles (deg): 90.00 90.00 90.00
Last column: nearest neighbours and their distance in Å.
Space group I-4m2 (No. 119)
Inequivalent atoms, fractional coordinates:
Zn (0.0000, 0.0000, 0.0000) (multiplicity 2)  4 Re 2.67, 4 Ni 2.67, 4 Zn 2.67
Zn (0.0000, 0.5000, 0.2500) (multiplicity 2)  4 Ni 2.67, 4 Re 2.67, 4 Zn 2.67
Re (0.0000, 0.0000, 0.5000) (multiplicity 2)  8 Zn 2.67, 4 Ni 2.67
Ni (0.0000, 0.5000, 0.7500) (multiplicity 2)  8 Zn 2.67, 4 Re 2.67

***

12.
Computed, not measured: a geometry-optimized Zn2ReNi structure at the PBE-GGA level of DFT.

* formation enthalpy at 0 K: 0.083 eV per atom
* final energy: -5.1111 eV/atom
* total magnetization: 0.000 μB/atom
* theoretical density: 11.645 g cm⁻³

a b c (Å): 2.6278 2.6278 7.7589
angles (deg): 90.00 90.00 90.00
Last column: nearest neighbours and their distance in Å.
Space group P4/mmm (No. 123)
Inequivalent atoms, fractional coordinates:
Zn (0.0000, 0.0000, 0.2252) (multiplicity 2)  4 Ni 2.55, 4 Zn 2.63, 4 Re 2.83
Re (0.5000, 0.5000, 0.5000) (multiplicity 1)  4 Re 2.63, 8 Zn 2.83
Ni (0.5000, 0.5000, 0.0000) (multiplicity 1)  8 Zn 2.55, 4 Ni 2.63